[1]
{"formula": "KBa3", "functional": "SCAN", "state": "single point on PBEsol structure", "energy_ev_per_cell": -126.74, "spacegroup": "P-6m2 (187)", "magmom_total_mub_per_fu": 0.022, "lattice": [[4.390, 0.000, 0.000], [-2.195, 3.802, 0.000], [0.000, 0.000, 14.723]], "species": ["K", "Ba", "Ba", "Ba"], "frac_coords": [[0.000, 0.000, 0.000], [0.000, 0.000, 0.500], [0.667, 0.333, 0.260], [0.667, 0.333, 0.740]]}



[2]
{"formula": "SbMoPt3", "functional": "SCAN", "state": "single point on PBEsol structure", "energy_ev_per_cell": -276.70, "spacegroup": "Pm-3m (221)", "magmom_total_mub_per_fu": 3.880, "lattice": [[4.829, 0.000, 0.000], [0.000, 4.829, 0.000], [0.000, 0.000, 4.829]], "species": ["Sb", "Mo", "Pt", "Pt", "Pt"], "frac_coords": [[0.000, 0.000, 0.000], [0.500, 0.500, 0.500], [0.000, 0.000, 0.500], [0.000, 0.500, 0.000], [0.500, 0.000, 0.000]]}



[3]
{"formula": "Sr3Al2", "functional": "SCAN", "state": "single point on PBEsol structure", "energy_ev_per_cell": -82.57, "spacegroup": "P-3m1 (164)", "magmom_total_mub_per_fu": 0.000, "lattice": [[5.432, 0.000, 0.000], [-2.716, 4.704, 0.000], [0.000, 0.000, 6.848]], "species": ["Sr", "Sr", "Sr", "Al", "Al"], "frac_coords": [[0.000, 0.000, 0.000], [0.333, 0.667, 0.344], [0.667, 0.333, 0.656], [0.333, 0.667, 0.863], [0.667, 0.333, 0.137]]}



[4]
{"formula": "SrTiIr3", "functional": "SCAN", "state": "single point on PBEsol structure", "energy_ev_per_cell": -238.03, "spacegroup": "Pm-3m (221)", "magmom_total_mub_per_fu": 0.896, "lattice": [[4.768, 0.000, 0.000], [0.000, 4.768, 0.000], [0.000, 0.000, 4.768]], "species": ["Sr", "Ti", "Ir", "Ir", "Ir"], "frac_coords": [[0.000, 0.000, 0.000], [0.500, 0.500, 0.500], [0.000, 0.000, 0.500], [0.000, 0.500, 0.000], [0.500, 0.000, 0.000]]}



[5]
{"formula": "ZrTeAs2Cl", "functional": "SCAN", "state": "single point on PBEsol structure", "energy_ev_per_cell": -112.89, "spacegroup": "P4/mmm (123)", "magmom_total_mub_per_fu": 0.000, "lattice": [[4.648, 0.000, 0.000], [0.000, 4.648, 0.000], [0.000, 0.000, 5.333]], "species": ["Zr", "Te", "As", "As", "Cl"], "frac_coords": [[0.000, 0.000, 0.000], [0.500, 0.500, 0.000], [0.000, 0.500, 0.500], [0.500, 0.000, 0.500], [0.500, 0.500, 0.500]]}



[6]
{"formula": "Y2Al", "functional": "SCAN", "state": "single point on PBEsol structure", "energy_ev_per_cell": -515.04, "spacegroup": "Fd-3m (227)", "magmom_total_mub_per_fu": 0.944, "lattice": [[0.000, 6.893, 6.893], [6.893, 0.000, 6.893], [6.893, 6.893, 0.000]], "species": ["Y", "Y", "Y", "Y", "Y", "Y", "Y", "Y", "Y", "Y", "Y", "Y", "Y", "Y", "Y", "Y", "Al", "Al", "Al", "Al", "Al", "Al", "Al", "Al"], "frac_coords": [[0.000, 0.000, 0.000], [0.000, 0.000, 0.500], [0.000, 0.500, 0.000], [0.185, 0.185, 0.565], [0.185, 0.565, 0.185], [0.185, 0.565, 0.565], [0.435, 0.435, 0.815], [0.435, 0.815, 0.435], [0.435, 0.815, 0.815], [0.500, 0.000, 0.000], [0.565, 0.185, 0.185], [0.565, 0.185, 0.565], [0.565, 0.565, 0.185], [0.815, 0.435, 0.435], [0.815, 0.435, 0.815], [0.815, 0.815, 0.435], [0.140, 0.787, 0.787], [0.213, 0.213, 0.213], [0.213, 0.213, 0.860], [0.213, 0.860, 0.213], [0.787, 0.140, 0.787], [0.787, 0.787, 0.140], [0.787, 0.787, 0.787], [0.860, 0.213, 0.213]]}



What is the formula in the fourth record? SrTiIr3



Which formula does entry 1 have? KBa3